# BaLi2MgIr | Alexandria | PBE-GGA | optimized geometry
data_BaLi2MgIr
_chemical_formula_sum 'Ba1 Li2 Mg1 Ir1'
_cell_length_a 5.221
_cell_length_b 5.221
_cell_length_c 5.245
_cell_angle_alpha 90.00
_cell_angle_beta 90.00
_cell_angle_gamma 90.00
_space_group_name_H-M_alt 'P 4/m m m'
_space_group_IT_number 123
_space_group_name_Hall '-P 4 2'
loop_
_atom_site_label
_atom_site_type_symbol
_atom_site_fract_x
_atom_site_fract_y
_atom_site_fract_z
Ba1 Ba 0.000 0.000 0.000
Li1 Li 0.000 0.500 0.000
Mg1 Mg 0.500 0.500 0.500
Ir1 Ir 0.000 0.000 0.500
# - Energy of formation from the pure elements: 1069 meV per atom
# - Size of the total moment: 0.000 μB/atom
# - Calculated total energy: -2.1719 eV/atom
# - Energy relative to the lowest polymorph listed for this composition: 1.0465 eV per atom



# BaLi2MgIr | Alexandria | PBE-GGA | optimized geometry
data_BaLi2MgIr
_chemical_formula_sum 'Ba1 Li2 Mg1 Ir1'
_cell_length_a 5.023
_cell_length_b 5.023
_cell_length_c 5.074
_cell_angle_alpha 90.00
_cell_angle_beta 90.00
_cell_angle_gamma 90.00
_space_group_name_H-M_alt 'P 4/m m m'
_space_group_IT_number 123
_space_group_name_Hall '-P 4 2'
loop_
_atom_site_label
_atom_site_type_symbol
_atom_site_fract_x
_atom_site_fract_y
_atom_site_fract_z
Ba1 Ba 0.000 0.000 0.000
Li1 Li 0.000 0.500 0.500
Mg1 Mg 0.500 0.500 0.000
Ir1 Ir 0.500 0.500 0.500
# - Energy of formation from the pure elements: 23 meV per atom
# - Size of the total moment: 0.000 μB/atom
# - Calculated total energy: -3.2184 eV/atom
# - Energy relative to the lowest polymorph listed for this composition: 0.0000 eV per atom



# Ba2LiIrN | Alexandria | PBE-GGA | optimized geometry
data_Ba2LiIrN
_chemical_formula_sum 'Ba2 Li1 Ir1 N1'
_cell_length_a 5.889
_cell_length_b 5.889
_cell_length_c 3.827
_cell_angle_alpha 90.00
_cell_angle_beta 90.00
_cell_angle_gamma 90.00
_space_group_name_H-M_alt 'P 4/m m m'
_space_group_IT_number 123
_space_group_name_Hall '-P 4 2'
loop_
_atom_site_label
_atom_site_type_symbol
_atom_site_fract_x
_atom_site_fract_y
_atom_site_fract_z
Ba1 Ba 0.000 0.500 0.000
Li1 Li 0.000 0.000 0.500
Ir1 Ir 0.500 0.500 0.500
N1 N 0.500 0.500 0.000
# - Size of the total moment: 0.000 μB/atom
# - Calculated total energy: -4.9195 eV/atom
# - Raw formation energy: -330 meV/atom



# BaLi2IrN2 | Alexandria | PBE-GGA | optimized geometry
data_BaLi2IrN2
_chemical_formula_sum 'Ba2 Li4 Ir2 N4'
_cell_length_a 5.483
_cell_length_b 8.939
_cell_length_c 4.038
_cell_angle_alpha 90.00
_cell_angle_beta 90.00
_cell_angle_gamma 90.00
_space_group_name_H-M_alt 'P n n m'
_space_group_IT_number 58
loop_
_space_group_symop_operation_xyz
'x,y,z'
'-x,-y,-z'
'-x,-y,z'
'x,y,-z'
'x+1/2,-y+1/2,-z+1/2'
'-x+1/2,y+1/2,z+1/2'
'-x+1/2,y+1/2,-z+1/2'
'x+1/2,-y+1/2,z+1/2'
loop_
_atom_site_label
_atom_site_type_symbol
_atom_site_fract_x
_atom_site_fract_y
_atom_site_fract_z
Ba1 Ba 0.000 0.000 0.000
Li1 Li 0.001 0.298 0.500
Ir1 Ir 0.000 0.500 0.000
N1 N 0.197 0.332 0.000
# - Size of the total moment: 0.000 μB/atom
# - Calculated total energy: -5.5762 eV/atom
# - Raw formation energy: -366 meV/atom



Repeat the third record exactly.
# Ba2LiIrN | Alexandria | PBE-GGA | optimized geometry
data_Ba2LiIrN
_chemical_formula_sum 'Ba2 Li1 Ir1 N1'
_cell_length_a 5.889
_cell_length_b 5.889
_cell_length_c 3.827
_cell_angle_alpha 90.00
_cell_angle_beta 90.00
_cell_angle_gamma 90.00
_space_group_name_H-M_alt 'P 4/m m m'
_space_group_IT_number 123
_space_group_name_Hall '-P 4 2'
loop_
_atom_site_label
_atom_site_type_symbol
_atom_site_fract_x
_atom_site_fract_y
_atom_site_fract_z
Ba1 Ba 0.000 0.500 0.000
Li1 Li 0.000 0.000 0.500
Ir1 Ir 0.500 0.500 0.500
N1 N 0.500 0.500 0.000
# - Size of the total moment: 0.000 μB/atom
# - Calculated total energy: -4.9195 eV/atom
# - Raw formation energy: -330 meV/atom



- Number 3 is which compound?
  Ba2LiIrN